Here is a geometry-optimized AcZrMnO5 structure from Alexandria via LeMat-Bulk. Energies are from PBE+U.

Lattice parameters (Å, degrees): 5.973 5.973 7.699 101.34 101.34 111.41
Fractional coordinates of all 16 atoms:
1 Ac 0.173 0.827 0.750
2 Ac 0.827 0.173 0.250
3 Zr 0.500 0.500 0.000
4 Zr 0.500 0.500 0.500
5 Mn 0.171 0.829 0.250
6 Mn 0.829 0.171 0.750
7 O 0.126 0.211 0.924
8 O 0.211 0.126 0.424
9 O 0.211 0.622 0.407
10 O 0.378 0.789 0.093
11 O 0.423 0.577 0.750
12 O 0.577 0.423 0.250
13 O 0.622 0.211 0.907
14 O 0.789 0.378 0.593
15 O 0.789 0.874 0.576
16 O 0.874 0.789 0.076

The raw total energy is -133.86 eV per cell. As for the space-group type: C2/c, No. 15.